A relaxed structure of Cs2RhWF6. Source: Alexandria, functional GGA+U.

Its total energy is -4.935 eV per atom.

It has space group I4/mmm (No. 139), with a = 6.446 Å, b = 6.446 Å, c = 9.133 Å, α = 90.00°, β = 90.00° and γ = 90.00°. The distinct sites, in fractional coordinates, are Cs at (0.000, 0.500, 0.250), Rh at (0.000, 0.000, 0.000), W at (0.000, 0.000, 0.500), F at (0.000, 0.000, 0.267) and F at (0.233, 0.233, 0.500).